Entry 1:
Density functional theory data (PBE) for crystalline HfPd12Pt6 at its relaxed geometry.

The total magnetic moment comes out at 0.0000 μB/atom. The value obtained for the uncorrected energy is -5.8244 eV/atom. The formation energy is -0.11 eV/atom.

The space group is R-3 (No. 148, hexagonal axes) and the conventional cell measures 9.6025, 9.6025 and 11.6896 Å, with angles of 90.00, 90.00 and 120.00 degrees. The distinct sites, in fractional coordinates, are Hf at (0.0000, 0.0000, 0.0000), Pd at (0.0293, 0.1850, 0.8086), Pd at (0.0651, 0.8411, 0.4166) and Pt at (0.0219, 0.4416, 0.6998).


Entry 2:
Density functional theory data (PBE) for crystalline Hf2Pd3Pt3 at its relaxed geometry.

The total magnetic moment comes out at 0.0000 μB/atom. The value obtained for the uncorrected energy is -7.7049 eV/atom. The formation energy is -1.00 eV/atom.

The space group is Pmmm (No. 47) and the conventional cell measures 4.023, 4.051 and 7.971 Å, with angles of 90.00, 90.00 and 90.00 degrees. The distinct sites, in fractional coordinates, are Hf at (0.000, 0.000, 0.249), Pd at (0.000, 0.500, 0.500), Pd at (0.500, 0.500, 0.251), Pt at (0.000, 0.500, 0.000), Pt at (0.500, 0.000, 0.000) and Pt at (0.500, 0.000, 0.500).